No. 1
The following is a DFT calculation (GGA-PBE) of a geometry-optimized Li2Nd3Ge4 structure.

a = 4.3359 Å, b = 5.9398 Å, c = 8.5050 Å
α = 104.29°, β = 90.00°, γ = 111.41°
With the nearest neighbours (Å) after each atom.
Fractional coordinates of all 9 atoms:
Li: 0.3558 0.7115 0.6852  3 Ge 2.49
Ge: 0.2900 0.5801 0.9430  1 Li 2.49, 2 Ge 2.62
Ge: 0.7100 0.4199 0.0570  1 Li 2.49, 2 Ge 2.62
Nd: 0.3509 0.7017 0.3227  4 Li 3.07-3.26, 8 Ge 3.12-3.36
Nd: 0.0000 0.0000 0.0000  8 Ge 3.12-3.37, 4 Li 3.49
Li: 0.6442 0.2885 0.3148  3 Ge 2.49
Ge: 0.0666 0.1331 0.3940  2 Li 2.49, 1 Ge 2.61
Nd: 0.6491 0.2983 0.6773  4 Li 3.07-3.26, 8 Ge 3.12-3.36
Ge: 0.9334 0.8669 0.6060  2 Li 2.49, 1 Ge 2.61

Calculated values
Formation energy: -0.707 eV/atom
Size of the total moment: 0.000 μB/atom

***

No. 2
The following is a DFT calculation (GGA-PBE) of a geometry-optimized LiNd3Ge3 structure.

a = 4.4449 Å, b = 5.9924 Å, c = 13.7149 Å
α = 84.39°, β = 80.67°, γ = 68.23°
With the nearest neighbours (Å) after each atom.
Fractional coordinates of all 14 atoms:
Nd: 0.5363 0.3091 0.6184  6 Ge 3.12-3.21, 4 Li 3.15-3.38
Nd: 0.4637 0.6909 0.3816  6 Ge 3.12-3.21, 4 Li 3.15-3.38
Ge: 0.1235 0.3034 0.4496  3 Li 2.61-2.85, 1 Ge 2.63
Nd: 0.2530 0.2711 0.2229  6 Ge 3.06-3.24
Ge: 0.8765 0.6966 0.5504  3 Li 2.61-2.85, 1 Ge 2.63
Ge: 0.8822 0.1591 0.0766  2 Ge 2.66-2.78
Ge: 0.9610 0.8474 0.2306  1 Ge 2.66, 1 Li 2.76
Li: 0.2453 0.9154 0.5939  4 Ge 2.61-2.85
Li: 0.7547 0.0846 0.4061  4 Ge 2.61-2.85
Ge: 0.1178 0.8409 0.9234  2 Ge 2.66-2.78
Ge: 0.0390 0.1526 0.7694  1 Ge 2.66, 1 Li 2.76
Nd: 0.3988 0.2794 0.9229  7 Ge 3.10-3.30
Nd: 0.6012 0.7206 0.0771  7 Ge 3.10-3.30
Nd: 0.7470 0.7289 0.7771  6 Ge 3.06-3.24

Calculated values
Formation energy: -0.752 eV/atom
Size of the total moment: 0.000 μB/atom

***

No. 3
The following is a DFT calculation (GGA-PBE) of a geometry-optimized Li2NdGe structure.

a = 4.3689 Å, b = 4.3689 Å, c = 9.5388 Å
α = 90.00°, β = 90.00°, γ = 120.00°
With the nearest neighbours (Å) after each atom.
Fractional coordinates of all 8 atoms:
Li: 0.6667 0.3333 0.0661  3 Ge 2.60, 3 Li 2.82
Nd: 0.6667 0.3333 0.7500  8 Li 3.01-3.07
Ge: 0.0000 0.0000 0.5000  6 Li 2.60
Li: 0.6667 0.3333 0.4339  3 Ge 2.60, 3 Li 2.82
Li: 0.3333 0.6667 0.5661  3 Ge 2.60, 3 Li 2.82
Nd: 0.3333 0.6667 0.2500  8 Li 3.01-3.07
Li: 0.3333 0.6667 0.9339  3 Ge 2.60, 3 Li 2.82
Ge: 0.0000 0.0000 0.0000  6 Li 2.60

Calculated values
Formation energy: -0.348 eV/atom
Size of the total moment: 0.209 μB/atom

***

No. 4
The following is a DFT calculation (GGA-PBE) of a geometry-optimized LiNdGe structure.

a = 4.4010 Å, b = 7.3319 Å, c = 12.5017 Å
α = 89.62°, β = 90.00°, γ = 90.00°
With the nearest neighbours (Å) after each atom.
Fractional coordinates of all 18 atoms:
Nd: 0.7500 0.6625 0.0798  5 Ge 3.09-3.17, 3 Li 3.23-3.32
Ge: 0.2500 0.7583 0.9060  5 Li 2.70-2.91
Ge: 0.2500 0.2330 0.4288  4 Li 2.68-2.95
Li: 0.7500 0.9982 0.9109  4 Ge 2.80-2.91, 3 Li 2.90-3.13
Li: 0.2500 0.8506 0.4589  4 Ge 2.68-2.83
Li: 0.2500 0.3461 0.2020  4 Ge 2.70-2.95, 1 Li 2.90
Ge: 0.2500 0.7323 0.2486  3 Li 2.77-2.89, 2 Nd 3.09
Nd: 0.7500 0.0174 0.3023  5 Ge 3.07-3.14, 3 Li 3.14-3.18
Li: 0.2500 0.0018 0.0891  4 Ge 2.80-2.91, 3 Li 2.90-3.13
Nd: 0.7500 0.5160 0.3710  5 Ge 3.11-3.12, 3 Li 3.30-3.42
Ge: 0.7500 0.2417 0.0940  5 Li 2.70-2.91
Ge: 0.7500 0.7670 0.5712  4 Li 2.68-2.95
Nd: 0.2500 0.3375 0.9202  5 Ge 3.09-3.17, 3 Li 3.23-3.32
Li: 0.7500 0.6539 0.7980  4 Ge 2.70-2.95, 1 Li 2.90
Nd: 0.2500 0.9826 0.6977  5 Ge 3.07-3.14, 3 Li 3.14-3.18
Ge: 0.7500 0.2677 0.7514  3 Li 2.77-2.89, 2 Nd 3.09
Nd: 0.2500 0.4840 0.6290  5 Ge 3.11-3.12, 3 Li 3.30-3.42
Li: 0.7500 0.1494 0.5411  4 Ge 2.68-2.83

Calculated values
Formation energy: -0.669 eV/atom
Size of the total moment: 0.000 μB/atom